# KCr2BO8, relaxed, DFT PBE+U
data_KCr2BO8
_chemical_formula_sum 'K1 Cr2 B1 O8'
_cell_length_a 4.8259
_cell_length_b 4.8259
_cell_length_c 8.6722
_cell_angle_alpha 73.84
_cell_angle_beta 73.84
_cell_angle_gamma 60.00
_symmetry_space_group_name_H-M 'P 1'
_symmetry_Int_Tables_number 1
loop_
_symmetry_equiv_pos_as_xyz
'x,y,z'
loop_
_atom_site_label
_atom_site_type_symbol
_atom_site_fract_x
_atom_site_fract_y
_atom_site_fract_z
O1 O 0.6547 0.2148 0.1219
O2 O 0.3453 0.7852 0.8781
Cr1 Cr 0.2712 0.2712 0.1863
O3 O 0.9915 0.3453 0.8781
O4 O 0.2046 0.2046 0.3863
O5 O 0.7954 0.7954 0.6137
O6 O 0.2148 0.0085 0.1219
B1 B 0.0000 0.0000 0.0000
K1 K 0.5000 0.5000 0.5000
Cr2 Cr 0.7288 0.7288 0.8137
O7 O 0.0085 0.6547 0.1219
O8 O 0.7852 0.9915 0.8781
# DOS at the Fermi energy ... 0.00 states/eV/f.u.
# DFT total energy ... -6.4518 eV per atom